A plane-wave DFT calculation with PBE was carried out for an optimized crystal structure of Ac2La2Ag.

## Properties
formation energy from the elements = -0.43 eV/f.u.
spin magnetization = 0.0 μB per formula unit
E = -4.27 eV per atom
space-group type = No. 139

Unit cell a=3.924 b=3.924 c=12.175 alpha=99.27 beta=99.27 gamma=90.00
Fractional coordinates of all 5 atoms:
Ag1 0.000 0.000 0.000
La1 0.199 0.199 0.397
La2 0.801 0.801 0.603
Ac1 0.416 0.416 0.832
Ac2 0.584 0.584 0.168